A plane-wave DFT calculation with PBE was carried out for a geometry-optimized KTl2As structure.

Structure (extended XYZ):
```
4
Lattice="-2.995 0.922 -2.536 2.297 -1.118 -3.119 -2.701 -7.173 0.582" Properties=species:S:1:pos:R:3 pbc="T T T"
Tl -1.111 -2.121 -2.664
Tl -0.147 -0.391 0.032
K -2.313 -5.314 -2.405
As -1.178 -3.130 0.254
```

Summary:
The calculation puts the energy above the most stable polymorph in this dataset at 75.9 meV/atom. As for the crystal system: tetragonal. The total DFT energy (no corrections) comes out at -2.714 eV per atom. Its space group is P4mm, No. 99.